Entry 1:
{
  "formula": "Mn4Hg3",
  "functional": "PBE",
  "state": "optimized geometry",
  "lattice": [[2.797, -4.845, 0.000], [2.797, 4.845, 0.000], [0.000, 0.000, 4.988]],
  "species": ["Hg", "Mn", "Mn", "Mn", "Hg", "Hg", "Mn"],
  "frac_coords": [[0.500, 0.500, 0.000], [0.000, 0.000, 0.256], [0.000, 0.000, 0.744], [0.667, 0.333, 0.500], [0.000, 0.500, 0.000], [0.500, 0.000, 0.000], [0.333, 0.667, 0.500]],
  "total_magnetization_mub_per_cell": 15.5,
  "dos_ef_per_ev_cell": 5.07,
  "final_energy_ev_per_atom": -4.6805,
  "e_above_lowest_polymorph_mev_per_atom": 339
}

Entry 2:
{
  "formula": "MnHg",
  "functional": "PBE",
  "state": "optimized geometry",
  "lattice": [[-2.533, -1.087, 1.442], [2.011, -1.977, -1.313], [6.884, -0.686, 11.581]],
  "species": ["Hg", "Mn", "Mn", "Hg", "Hg", "Mn"],
  "frac_coords": [[0.000, 0.000, 0.796], [0.667, 0.333, 0.374], [0.000, 0.000, 0.500], [0.667, 0.333, 0.000], [0.000, 0.000, 0.204], [0.667, 0.333, 0.626]],
  "total_magnetization_mub_per_cell": 3.6,
  "dos_ef_per_ev_cell": 4.30,
  "final_energy_ev_per_atom": -4.3842,
  "e_above_lowest_polymorph_mev_per_atom": 28
}

Entry 3:
{
  "formula": "Mn2Hg",
  "functional": "PBE",
  "state": "optimized geometry",
  "lattice": [[-2.941, -4.352, 0.427], [-5.216, 0.397, 0.636], [-3.245, -1.383, -3.916]],
  "species": ["Hg", "Mn", "Hg", "Mn", "Mn", "Mn"],
  "frac_coords": [[0.250, 0.250, 0.250], [0.625, 0.625, 0.125], [0.000, 0.000, 0.000], [0.625, 0.625, 0.625], [0.625, 0.125, 0.625], [0.125, 0.625, 0.625]],
  "total_magnetization_mub_per_cell": 14.4,
  "dos_ef_per_ev_cell": 7.31,
  "final_energy_ev_per_atom": -5.6499
}

Entry 4:
{
  "formula": "Mn4Hg5",
  "functional": "PBE",
  "state": "optimized geometry",
  "lattice": [[8.261, 0.000, 0.000], [4.131, 7.154, 0.000], [0.000, 0.000, 5.783]],
  "species": ["Mn", "Mn", "Hg", "Hg", "Mn", "Hg", "Hg", "Mn", "Hg", "Hg", "Hg", "Mn", "Mn", "Hg", "Hg", "Mn", "Mn", "Hg"],
  "frac_coords": [[0.000, 0.637, 0.250], [0.637, 0.000, 0.750], [0.667, 0.667, 0.000], [0.296, 0.704, 0.250], [0.000, 0.000, 0.000], [0.667, 0.667, 0.500], [0.704, 0.296, 0.750], [0.363, 0.000, 0.250], [0.333, 0.333, 0.000], [0.704, 0.000, 0.250], [0.000, 0.704, 0.750], [0.000, 0.363, 0.750], [0.000, 0.000, 0.500], [0.333, 0.333, 0.500], [0.296, 0.000, 0.750], [0.363, 0.637, 0.750], [0.637, 0.363, 0.250], [0.000, 0.296, 0.250]],
  "total_magnetization_mub_per_cell": 30.5,
  "dos_ef_per_ev_cell": 11.60,
  "final_energy_ev_per_atom": -3.8792,
  "e_above_lowest_polymorph_mev_per_atom": 2
}

Entry 5:
{
  "formula": "MnHg",
  "functional": "PBE",
  "state": "optimized geometry",
  "lattice": [[-2.890, 1.749, -11.033], [-6.130, -15.820, -0.902], [-2.776, 1.025, 0.890]],
  "species": ["Mn", "Hg", "Mn", "Mn", "Hg", "Hg", "Mn", "Hg", "Hg", "Mn", "Mn", "Mn", "Mn", "Mn", "Hg", "Hg", "Hg", "Hg", "Mn", "Mn", "Mn", "Mn", "Hg", "Mn", "Hg", "Hg", "Hg", "Hg", "Mn", "Hg", "Hg", "Mn"],
  "frac_coords": [[0.250, 0.362, 0.750], [0.383, 0.250, 0.250], [0.750, 0.138, 0.250], [0.250, 0.138, 0.750], [0.867, 0.500, 0.000], [0.117, 0.750, 0.750], [0.500, 0.612, 0.000], [0.367, 0.000, 0.000], [0.883, 0.750, 0.250], [0.000, 0.112, 0.000], [0.000, 0.388, 0.500], [0.750, 0.362, 0.250], [0.500, 0.888, 0.500], [0.500, 0.388, 0.000], [0.133, 0.000, 0.500], [0.117, 0.250, 0.250], [0.617, 0.250, 0.750], [0.367, 0.500, 0.500], [0.250, 0.862, 0.250], [0.750, 0.638, 0.750], [0.750, 0.862, 0.750], [0.000, 0.612, 0.500], [0.633, 0.000, 0.000], [0.250, 0.638, 0.250], [0.617, 0.750, 0.250], [0.883, 0.250, 0.750], [0.867, 0.000, 0.500], [0.133, 0.500, 0.000], [0.000, 0.888, 0.000], [0.383, 0.750, 0.750], [0.633, 0.500, 0.500], [0.500, 0.112, 0.500]],
  "total_magnetization_mub_per_cell": 62.3,
  "dos_ef_per_ev_cell": 17.93,
  "final_energy_ev_per_atom": -4.3122,
  "e_above_lowest_polymorph_mev_per_atom": 100
}

Entry 6:
{
  "formula": "MnHg",
  "functional": "PBE",
  "state": "optimized geometry",
  "lattice": [[-3.678, 2.926, -0.491], [0.543, -3.633, -2.973], [-2.942, -3.144, 3.305]],
  "species": ["Hg", "Mn", "Hg", "Mn"],
  "frac_coords": [[0.333, 0.667, 0.750], [0.333, 0.667, 0.250], [0.667, 0.333, 0.250], [0.667, 0.333, 0.750]],
  "total_magnetization_mub_per_cell": 8.4,
  "dos_ef_per_ev_cell": 4.58,
  "final_energy_ev_per_atom": -3.9320,
  "e_above_lowest_polymorph_mev_per_atom": 480
}